(1)
VASP calculation (GGA-PBE) on a relaxed Zr8Ni21 crystal.

The final energy comes out at -198.09 eV for the cell shown. Its space group is P-1 (2). The formation energy is -0.441 eV per atom. As for the volume: 13.6 A^3/atom. Its crystal system is triclinic.

a b c (Å): 6.454 8.067 8.562
angles (deg): 75.30 68.04 75.28
Atoms (fractional coordinates):
Ni 0.000 0.000 0.000
Ni 0.317 0.099 0.036
Ni 0.318 0.744 0.048
Ni 0.902 0.241 0.153
Ni 0.901 0.720 0.154
Ni 0.485 0.383 0.245
Ni 0.484 0.708 0.274
Ni 0.136 0.213 0.343
Ni 0.119 0.555 0.348
Ni 0.696 0.755 0.459
Ni 0.713 0.115 0.470
Ni 0.287 0.885 0.530
Ni 0.304 0.245 0.541
Ni 0.881 0.445 0.652
Ni 0.864 0.787 0.657
Ni 0.516 0.292 0.726
Ni 0.515 0.617 0.755
Ni 0.099 0.280 0.846
Ni 0.098 0.759 0.847
Ni 0.682 0.256 0.952
Ni 0.683 0.901 0.964
Zr 0.249 0.436 0.034
Zr 0.567 0.038 0.248
Zr 0.069 0.904 0.315
Zr 0.753 0.441 0.393
Zr 0.247 0.559 0.607
Zr 0.931 0.096 0.685
Zr 0.433 0.962 0.752
Zr 0.751 0.564 0.966

(2)
VASP calculation (GGA-PBE) on a relaxed Zr2Ni crystal.

The final energy comes out at -91.92 eV for the cell shown. Its space group is Pmmn (59). The formation energy is -0.106 eV per atom. As for the volume: 18.6 A^3/atom. Its crystal system is orthorhombic.

a b c (Å): 5.450 8.915 4.599
angles (deg): 90.00 90.00 90.00
Atoms (fractional coordinates):
Ni 0.989 0.669 0.000
Ni 0.989 0.998 0.000
Ni 0.844 0.169 0.500
Ni 0.844 0.498 0.500
Zr 0.573 0.137 0.000
Zr 0.045 0.333 0.000
Zr 0.573 0.529 0.000
Zr 0.403 0.833 0.000
Zr 0.260 0.029 0.500
Zr 0.431 0.333 0.500
Zr 0.260 0.637 0.500
Zr 0.789 0.833 0.500

(3)
VASP calculation (GGA-PBE) on a relaxed Zr3Ni2 crystal.

The final energy comes out at -75.69 eV for the cell shown. For the energy above the most stable polymorph in this dataset, the calculation gives 0.114 eV per atom. Its space group is R-3c (167). The formation energy is -0.213 eV per atom. As for the volume: 18.5 A^3/atom. Its crystal system is trigonal.

a b c (Å): 7.026 7.026 5.934
angles (deg): 126.30 53.70 120.00
Atoms (fractional coordinates):
Ni 0.593 0.407 0.220
Ni 0.907 0.093 0.280
Ni 0.093 0.907 0.720
Ni 0.407 0.593 0.780
Zr 0.965 0.465 0.250
Zr 0.535 0.750 0.250
Zr 0.250 0.035 0.250
Zr 0.750 0.965 0.750
Zr 0.465 0.250 0.750
Zr 0.035 0.535 0.750

(4)
VASP calculation (GGA-PBE) on a relaxed ZrNi2 crystal.

The final energy comes out at -35.00 eV for the cell shown. Its space group is P4_2/mnm (136). The formation energy is 0.727 eV per atom. As for the volume: 18.2 A^3/atom. Its crystal system is tetragonal.

a b c (Å): 4.914 4.914 4.529
angles (deg): 90.00 90.00 90.00
Atoms (fractional coordinates):
Ni 0.336 0.336 0.000
Ni 0.664 0.664 0.000
Ni 0.836 0.164 0.500
Ni 0.164 0.836 0.500
Zr 0.000 0.000 0.000
Zr 0.500 0.500 0.500

(5)
VASP calculation (GGA-PBE) on a relaxed Zr2Ni crystal.

The final energy comes out at -41.43 eV for the cell shown. Its space group is Fd-3m (227). The formation energy is 0.649 eV per atom. As for the volume: 19.8 A^3/atom. Its crystal system is cubic.

a b c (Å): 5.519 5.519 5.519
angles (deg): 60.00 60.00 60.00
Atoms (fractional coordinates):
Ni 0.000 0.000 0.000
Ni 0.250 0.250 0.250
Zr 0.625 0.625 0.125
Zr 0.625 0.125 0.625
Zr 0.125 0.625 0.625
Zr 0.625 0.625 0.625

(6)
VASP calculation (GGA-PBE) on a relaxed Zr2Ni crystal.

The final energy comes out at -184.54 eV for the cell shown. Its space group is P2_1/m (11). The formation energy is -0.135 eV per atom. As for the volume: 19.1 A^3/atom. Its crystal system is monoclinic.

a b c (Å): 14.724 7.688 4.662
angles (deg): 90.00 90.00 60.27
Atoms (fractional coordinates):
Ni 0.881 0.123 0.000
Ni 0.702 0.215 0.000
Ni 0.300 0.451 0.000
Ni 0.815 0.843 0.000
Ni 0.493 0.146 0.500
Ni 0.314 0.238 0.500
Ni 0.379 0.518 0.500
Ni 0.895 0.911 0.500
Zr 0.392 0.036 0.000
Zr 0.591 0.045 0.000
Zr 0.162 0.299 0.000
Zr 0.910 0.432 0.000
Zr 0.450 0.565 0.000
Zr 0.669 0.594 0.000
Zr 0.014 0.759 0.000
Zr 0.192 0.857 0.000
Zr 0.032 0.062 0.500
Zr 0.604 0.316 0.500
Zr 0.802 0.325 0.500
Zr 0.002 0.504 0.500
Zr 0.181 0.601 0.500
Zr 0.525 0.767 0.500
Zr 0.745 0.796 0.500
Zr 0.285 0.929 0.500

Question: Look up the volume of the third one.
Answer: 18.5 A^3/atom